(1)
This record from Alexandria describes KTlPb2 at its PBEsol-relaxed geometry. The functional is SCAN.

a = 3.753 Å, b = 4.416 Å, c = 7.702 Å
α = 90.00°, β = 90.00°, γ = 90.00°
Sites, in units of the cell vectors:
K 0.000 0.000 0.000
Tl 0.000 0.000 0.500
Pb 0.500 0.500 0.299
Pb 0.500 0.500 0.701

## Properties
N(E_F) = 0.43 states/eV/atom
magnetic moment = 0.00 μB/atom
calculated density = 8.56 g/cm³
distance to the lowest polymorph of the same formula = 53 meV per atom
space group = Pmmm, No. 47
final energy = -58.205 eV/atom



(2)
This record from Alexandria describes K2TlPb at its PBEsol-relaxed geometry. The functional is SCAN.

a = 3.828 Å, b = 5.280 Å, c = 7.165 Å
α = 90.00°, β = 103.34°, γ = 90.00°
Sites, in units of the cell vectors:
K 0.000 0.000 0.000
K 0.282 0.500 0.653
Tl 0.687 0.000 0.452
Pb 0.597 0.500 0.207

## Properties
N(E_F) = 0.51 states/eV/atom
magnetic moment = 0.00 μB/atom
calculated density = 5.77 g/cm³
distance to the lowest polymorph of the same formula = 29 meV per atom
space group = Pm, No. 6
final energy = -41.425 eV/atom